TbPm2NdTl4: relaxed, PBE.

CIF file:
```
data_TbPm2NdTl4
_chemical_formula_sum 'Tb3 Pm6 Nd3 Tl12'
_space_group_name_H-M_alt 'R -3 m'
_space_group_IT_number 166
_space_group_name_Hall '-R 3 2"'
_cell_length_a 5.4685
_cell_length_b 5.4685
_cell_length_c 26.8350
_cell_angle_alpha 90.00
_cell_angle_beta 90.00
_cell_angle_gamma 120.00
loop_
_atom_site_label
_atom_site_fract_x
_atom_site_fract_y
_atom_site_fract_z
Tb1 0.0000 0.0000 0.0000
Pm1 0.0000 0.0000 0.2505
Nd1 0.0000 0.0000 0.5000
Tl1 0.0000 0.0000 0.1239
Tl2 0.0000 0.0000 0.3740
```

Fermi-level density of states   0.8115 states/eV per atom
Energy of formation from the pure elements   -376 meV per atom